# 1
A plane-wave DFT calculation with PBE-GGA was carried out for a relaxed CoAg2Cl crystal.

Cell: 3.2828 4.4483 4.8437 Å, 90.00 90.00 90.00°
With the nearest neighbours (Å) after each atom.
Element x y z (fractional)
Co 0.0000 0.5000 0.5000  4 Cl 2.76, 4 Ag 2.93
Ag 0.0000 0.0000 0.0000  4 Ag 2.76, 4 Cl 2.93
Ag 0.5000 0.5000 0.0000  4 Ag 2.76, 4 Co 2.93
Cl 0.5000 0.0000 0.5000  4 Co 2.76, 4 Ag 2.93

Space group ... Pmmm (47)
Uncorrected formation energy ... 1.82 eV per formula unit
Uncorrected energy ... -3.21 eV per atom
Density of states at the Fermi level ... 2.721 states/eV/cell

=====

# 2
A plane-wave DFT calculation with PBE-GGA was carried out for a relaxed CdReHg2 crystal.

Cell: 2.9287 2.9287 9.4837 Å, 90.00 90.00 90.00°
With the nearest neighbours (Å) after each atom.
Element x y z (fractional)
Re 0.0000 0.0000 0.5036  4 Re 2.93, 4 Cd 2.93, 4 Hg 2.97
Hg 0.0000 0.0000 0.9952  4 Hg 2.93
Hg 0.5000 0.5000 0.2790  4 Hg 2.93, 4 Re 2.97
Cd 0.5000 0.5000 0.7222  4 Cd 2.93, 4 Re 2.93

Energy relative to the elements ... 0.642 eV per atom
Space group ... P4mm (99)
Uncorrected energy ... -2.85 eV per atom
Density of states at the Fermi level ... 2.444 states/eV/cell

=====

# 3
A plane-wave DFT calculation with PBE-GGA was carried out for a relaxed Ba2GaCuN crystal.

Cell: 5.8758 5.8758 3.7181 Å, 90.00 90.00 90.00°
With the nearest neighbours (Å) after each atom.
Element x y z (fractional)
Cu 0.0000 0.0000 0.5000  2 N 1.86
Ba 0.0000 0.5000 0.0000  2 N 2.94
Ba 0.5000 0.0000 0.0000  2 N 2.94
Ga 0.5000 0.5000 0.5000  8 Ba 3.48, 2 Ga 3.72
N 0.0000 0.0000 0.0000  2 Cu 1.86

Space group ... P4/mmm (123)
Uncorrected formation energy ... -1.05 eV per formula unit
Uncorrected energy ... -4.07 eV per atom
Density of states at the Fermi level ... 5.293 states/eV/cell

=====

# 4
A plane-wave DFT calculation with PBE-GGA was carried out for a relaxed KIn4Au2 crystal.

Cell: 4.7010 4.9070 8.5680 Å, 106.64 90.00 90.00°
With the nearest neighbours (Å) after each atom.
Element x y z (fractional)
K 0.0000 0.0000 0.0000  8 Au 3.67, 8 In 3.71-3.90
In 0.5000 0.8249 0.6498  2 Au 2.87
In 0.0000 0.6849 0.3698  2 Au 2.87
In 0.5000 0.1751 0.3502  2 Au 2.87
In 0.0000 0.3151 0.6302  2 Au 2.87
Au 0.5000 0.5841 0.1682  1 Au 2.76, 4 In 2.87
Au 0.5000 0.4159 0.8318  1 Au 2.76, 4 In 2.87

Energy relative to the elements ... -0.189 eV per atom
Space group ... Cmmm (65)
Uncorrected energy ... -2.85 eV per atom
Density of states at the Fermi level ... 2.977 states/eV/cell

=====

# 5
A plane-wave DFT calculation with PBE-GGA was carried out for a relaxed CsRbTl3Pt crystal.

Cell: 7.5488 7.8246 10.2600 Å, 67.58 78.90 59.66°
With the nearest neighbours (Å) after each atom.
Element x y z (fractional)
Cs 0.2500 0.2611 0.4778  8 Tl 3.84-4.05, 2 Cs 3.85
Cs 0.7500 0.7389 0.5222  8 Tl 3.84-4.05, 2 Cs 3.85
Rb 0.2500 0.5878 0.8245  6 Tl 3.82-4.23, 2 Pt 3.94
Rb 0.7500 0.4122 0.1755  6 Tl 3.82-4.23, 2 Pt 3.94
Tl 0.5169 0.9018 0.8501  2 Pt 2.77-2.80
Tl 0.9831 0.2481 0.8501  2 Pt 2.77-2.80
Tl 0.7500 0.1833 0.6334  1 Pt 2.77
Tl 0.4831 0.0982 0.1499  2 Pt 2.77-2.80
Tl 0.0169 0.7519 0.1499  2 Pt 2.77-2.80
Tl 0.2500 0.8167 0.3666  1 Pt 2.77
Pt 0.7500 0.0373 0.9253  5 Tl 2.77-2.80
Pt 0.2500 0.9627 0.0747  5 Tl 2.77-2.80

Energy relative to the elements ... -0.091 eV per atom
Space group ... C2/c (15)
Uncorrected energy ... -2.58 eV per atom
Density of states at the Fermi level ... 8.028 states/eV/cell

=====

# 6
A plane-wave DFT calculation with PBE-GGA was carried out for a relaxed CdTe8Pd4 crystal.

Cell: 8.1789 8.1790 8.1790 Å, 60.00 60.00 60.00°
With the nearest neighbours (Å) after each atom.
Element x y z (fractional)
Cd 0.7500 0.7500 0.7500  4 Te 2.83
Te 0.5839 0.1387 0.1387  3 Pd 2.70
Te 0.1387 0.5839 0.1387  3 Pd 2.70
Te 0.1387 0.1387 0.5839  3 Pd 2.70
Te 0.1387 0.1387 0.1387  3 Pd 2.70
Te 0.1738 0.6087 0.6087  3 Pd 2.76, 1 Cd 2.83
Te 0.6087 0.1738 0.6087  3 Pd 2.76, 1 Cd 2.83
Te 0.6087 0.6087 0.1738  3 Pd 2.76, 1 Cd 2.83
Te 0.6087 0.6087 0.6087  3 Pd 2.76, 1 Cd 2.83
Pd 0.8856 0.3715 0.3715  6 Te 2.70-2.76
Pd 0.3715 0.8856 0.3715  6 Te 2.70-2.76
Pd 0.3715 0.3715 0.8856  6 Te 2.70-2.76
Pd 0.3715 0.3715 0.3715  6 Te 2.70-2.76

Space group ... F-43m (216)
Uncorrected formation energy ... -3.33 eV per formula unit
Uncorrected energy ... -3.86 eV per atom
Density of states at the Fermi level ... 7.956 states/eV/cell

=====

# 7
A plane-wave DFT calculation with PBE-GGA was carried out for a relaxed CeDyTl crystal.

Cell: 3.2616 5.3974 5.3974 Å, 120.00 90.00 90.00°
With the nearest neighbours (Å) after each atom.
Element x y z (fractional)
Tl 0.6663 0.6667 0.3333  2 Tl 3.26, 6 Dy 3.52, 6 Ce 3.52
Ce 0.1666 0.3333 0.6667  3 Dy 3.12, 2 Ce 3.26
Dy 0.1671 0.0000 0.0000  3 Ce 3.12, 2 Dy 3.26

Energy relative to the elements ... 0.052 eV per atom
Space group ... P-6m2 (187)
Uncorrected energy ... -4.25 eV per atom
Density of states at the Fermi level ... 6.677 states/eV/cell

=====

# 8
A plane-wave DFT calculation with PBE-GGA was carried out for a relaxed CaCo crystal.

Cell: 7.9203 7.9203 7.9203 Å, 28.32 28.32 28.32°
With the nearest neighbours (Å) after each atom.
Element x y z (fractional)
Ca 0.9632 0.9632 0.9632  6 Co 3.00-3.01
Ca 0.7868 0.7868 0.7868  6 Co 3.00-3.01
Co 0.5420 0.5420 0.5420  3 Co 2.24
Co 0.2080 0.2080 0.2080  3 Co 2.24

Energy relative to the elements ... 0.032 eV per atom
Space group ... R-3m (166)
Uncorrected energy ... -4.52 eV per atom
Density of states at the Fermi level ... 3.838 states/eV/cell

=====

Which of these has the lowest density of states at the Fermi level?
CdReHg2

=====

Which of these has the lowest density of states at the Fermi level?
CdReHg2

=====

Look up the density of states at the Fermi level of the second one.
2.444 states/eV/cell